# 1
First-principles (PBE) data for crystalline TlZn2B2 at its relaxed geometry, as listed in Alexandria.

Properties
Formation enthalpy at 0 K: 834 meV/atom

Lattice parameters (Å, degrees): 6.3795 6.3795 3.6045 90.00 90.00 90.00
Last column: nearest neighbours and their distance in Å.
Atoms (fractional coordinates):
Zn 0.3479 0.1521 0.5000  4 B 2.40
Zn 0.8479 0.3479 0.5000  4 B 2.40
Zn 0.6521 0.8479 0.5000  4 B 2.40
Zn 0.1521 0.6521 0.5000  4 B 2.40
B 0.4107 0.9107 0.0000  1 B 1.61
B 0.0893 0.4107 0.0000  1 B 1.61
B 0.9107 0.5893 0.0000  1 B 1.61
B 0.5893 0.0893 0.0000  1 B 1.61
Tl 0.5000 0.5000 0.0000  4 B 2.68
Tl 0.0000 0.0000 0.0000  4 B 2.68

# 2
First-principles (PBE) data for crystalline MgBePt at its relaxed geometry, as listed in Alexandria.

Properties
Formation enthalpy at 0 K: -194 meV/atom

Lattice parameters (Å, degrees): 2.9673 2.9673 5.9437 90.00 90.00 120.00
Last column: nearest neighbours and their distance in Å.
Atoms (fractional coordinates):
Be 0.0000 0.0000 0.9637  3 Pt 2.30
Pt 0.3333 0.6667 0.7050  3 Be 2.30
Mg 0.6667 0.3333 0.3313  3 Be 2.78, 3 Pt 2.81, 6 Mg 2.97

# 3
First-principles (PBE) data for crystalline Cu2SnSe3 at its relaxed geometry, as listed in Alexandria.

Properties
Formation energy from raw total energies: -0.285 eV per atom

Lattice parameters (Å, degrees): 7.0620 7.0620 7.1026 80.27 80.27 119.94
Last column: nearest neighbours and their distance in Å.
Atoms (fractional coordinates):
Cu 0.8878 0.3824 0.6194  4 Se 2.42-2.46
Cu 0.2017 0.0374 0.6200  4 Se 2.42-2.47
Cu 0.0374 0.2017 0.1200  4 Se 2.42-2.47
Cu 0.3824 0.8878 0.1194  4 Se 2.42-2.46
Sn 0.5516 0.7336 0.6026  4 Se 2.60-2.69
Sn 0.7336 0.5516 0.1026  4 Se 2.60-2.69
Se 0.3961 0.5838 0.0048  2 Cu 2.46-2.47, 2 Sn 2.69
Se 0.1176 0.9490 0.9821  3 Cu 2.42-2.43, 1 Sn 2.60
Se 0.9490 0.1176 0.4821  3 Cu 2.42-2.43, 1 Sn 2.60
Se 0.7603 0.2366 0.9811  3 Cu 2.42-2.43, 1 Sn 2.60
Se 0.2366 0.7603 0.4811  3 Cu 2.42-2.43, 1 Sn 2.60
Se 0.5838 0.3961 0.5048  2 Cu 2.46-2.47, 2 Sn 2.69

# 4
First-principles (PBE) data for crystalline Rb2BaMgO at its relaxed geometry, as listed in Alexandria.

Properties
Formation energy from raw total energies: 0.529 eV per atom

Lattice parameters (Å, degrees): 6.5044 6.9088 6.5044 90.00 90.00 90.00
Last column: nearest neighbours and their distance in Å.
Atoms (fractional coordinates):
Ba 0.0000 0.5000 0.0000  2 Mg 3.45
Rb 0.0000 0.0000 0.5000  2 Mg 3.25
Rb 0.5000 0.0000 0.0000  2 Mg 3.25
Mg 0.0000 0.0000 0.0000  4 Rb 3.25, 2 Ba 3.45
O 0.5000 0.5000 0.5000  4 Ba 4.60, 8 Rb 4.74

# 5
First-principles (PBE) data for crystalline YScSe3 at its relaxed geometry, as listed in Alexandria.

Properties
Formation energy from raw total energies: -1.461 eV per atom

Lattice parameters (Å, degrees): 4.8072 4.8072 6.4730 90.00 90.00 90.00
Last column: nearest neighbours and their distance in Å.
Atoms (fractional coordinates):
Se 0.0000 0.5000 0.3500  2 Sc 2.63, 2 Y 2.85
Se 0.5000 0.0000 0.3500  2 Sc 2.63, 2 Y 2.85
Se 0.0000 0.0000 0.7924  1 Sc 2.53
Sc 0.0000 0.0000 0.1834  5 Se 2.53-2.63
Y 0.5000 0.5000 0.5879  4 Se 2.85

# 6
First-principles (PBE) data for crystalline Mg2CdCo at its relaxed geometry, as listed in Alexandria.

Properties
Formation enthalpy at 0 K: 136 meV/atom

Lattice parameters (Å, degrees): 4.6996 2.9732 5.0765 90.02 90.00 90.00
Last column: nearest neighbours and their distance in Å.
Atoms (fractional coordinates):
Co 0.5000 0.6249 0.7992  8 Mg 2.87-2.96, 2 Cd 2.89, 2 Co 2.97
Mg 0.0000 0.1252 0.9382  4 Cd 2.82-3.07, 4 Co 2.87, 4 Mg 2.97
Mg 0.5000 0.1249 0.2962  4 Cd 2.91, 4 Co 2.93-2.96, 4 Mg 2.97
Cd 0.0000 0.6250 0.4664  8 Mg 2.82-3.07, 2 Co 2.89, 2 Cd 2.97

# 7
First-principles (PBE) data for crystalline Nd4Te3Ir at its relaxed geometry, as listed in Alexandria.

Properties
Formation energy from raw total energies: -1.230 eV per atom

Lattice parameters (Å, degrees): 4.3367 7.8048 7.8048 108.28 90.00 90.00
Last column: nearest neighbours and their distance in Å.
Atoms (fractional coordinates):
Te 0.0000 0.0000 0.5000  6 Nd 3.16-3.18
Te 0.5000 0.5000 0.5000  6 Nd 3.39-3.41
Te 0.0000 0.5000 0.0000  6 Nd 3.16-3.18
Nd 0.5000 0.2319 0.7681  1 Ir 2.93, 4 Te 3.16
Nd 0.0000 0.7877 0.7877  2 Ir 2.91, 2 Te 3.18
Nd 0.5000 0.7681 0.2319  1 Ir 2.93, 4 Te 3.16
Nd 0.0000 0.2123 0.2123  2 Ir 2.91, 2 Te 3.18
Ir 0.5000 0.0000 0.0000  6 Nd 2.91-2.93

# 8
First-principles (PBE) data for crystalline Rb2Tm2BiO6 at its relaxed geometry, as listed in Alexandria.

Properties
Formation energy from raw total energies: -2.299 eV per atom

Lattice parameters (Å, degrees): 5.9660 5.9660 6.9859 98.04 98.04 120.03
Last column: nearest neighbours and their distance in Å.
Atoms (fractional coordinates):
O 0.9494 0.6064 0.3320  2 Tm 2.26-2.28, 1 Bi 2.32
O 0.6064 0.9494 0.3320  2 Tm 2.26-2.28, 1 Bi 2.32
O 0.2779 0.2779 0.3315  2 Tm 2.28, 1 Bi 2.29
O 0.7221 0.7221 0.6685  2 Tm 2.28, 1 Bi 2.29
O 0.0506 0.3936 0.6680  2 Tm 2.26-2.28, 1 Bi 2.32
O 0.3936 0.0506 0.6680  2 Tm 2.26-2.28, 1 Bi 2.32
Tm 0.6656 0.3344 0.5000  6 O 2.26-2.28
Tm 0.3344 0.6656 0.5000  6 O 2.26-2.28
Bi 0.0000 0.0000 0.5000  6 O 2.29-2.32
Rb 0.1666 0.8334 0.0000  6 O 2.96-2.99
Rb 0.8334 0.1666 0.0000  6 O 2.96-2.99